No. 1
# PBEsol K2BaRu, optimized geometry
# Energy of formation in meV/atom: 744
data_K2BaRu
_chemical_formula_sum 'K2 Ba1 Ru1'
_symmetry_space_group_name_H-M 'P 1 m 1'
_symmetry_Int_Tables_number 6
_cell_length_a 3.8221
_cell_length_b 3.8200
_cell_length_c 10.9754
_cell_angle_alpha 90.00
_cell_angle_beta 90.08
_cell_angle_gamma 90.00
loop_
_symmetry_equiv_pos_as_xyz
'x,y,z'
'x,-y,z'
loop_
_atom_site_label
_atom_site_type_symbol
_atom_site_fract_x
_atom_site_fract_y
_atom_site_fract_z
_atom_site_occupancy
K1 K 0.0000 0.0000 0.0000 1
K2 K 0.4967 0.5000 0.3569 1
Ba1 Ba 0.9978 0.0000 0.6764 1
Ru1 Ru 0.4986 0.5000 0.7931 1

***

No. 2
# PBEsol K4BaV2S8, optimized geometry
# Raw formation energy in eV/atom: -1.2721
data_K4BaV2S8
_chemical_formula_sum 'K16 Ba4 V8 S32'
_symmetry_space_group_name_H-M 'I b a m'
_symmetry_Int_Tables_number 72
_symmetry_space_group_name_Hall '-I 2 2c'
_cell_length_a 8.8793
_cell_length_b 18.1059
_cell_length_c 9.8483
_cell_angle_alpha 90.00
_cell_angle_beta 90.00
_cell_angle_gamma 90.00
loop_
_atom_site_label
_atom_site_type_symbol
_atom_site_fract_x
_atom_site_fract_y
_atom_site_fract_z
_atom_site_occupancy
K1 K 0.0000 0.2499 0.2500 1
K2 K 0.1265 0.0758 0.0000 1
Ba1 Ba 0.0000 0.5000 0.2500 1
V1 V 0.2105 0.3657 0.0000 1
S1 S 0.0258 0.3910 0.5000 1
S2 S 0.1901 0.0873 0.3221 1
S3 S 0.2350 0.2488 0.0000 1

***

No. 3
# PBEsol K2BaSb, optimized geometry
# Raw formation energy in eV/atom: -0.3212
data_K2BaSb
_chemical_formula_sum 'K4 Ba2 Sb2'
_symmetry_space_group_name_H-M 'C m m m'
_symmetry_Int_Tables_number 65
_symmetry_space_group_name_Hall '-C 2 2'
_cell_length_a 7.0468
_cell_length_b 7.6799
_cell_length_c 6.4364
_cell_angle_alpha 90.00
_cell_angle_beta 90.00
_cell_angle_gamma 90.00
loop_
_atom_site_label
_atom_site_type_symbol
_atom_site_fract_x
_atom_site_fract_y
_atom_site_fract_z
_atom_site_occupancy
K1 K 0.0000 0.2085 0.0000 1
Ba1 Ba 0.0000 0.5000 0.5000 1
Sb1 Sb 0.0000 0.0000 0.5000 1

***

No. 4
# PBEsol KBa2Sb, optimized geometry
# Raw formation energy in eV/atom: -0.3859
data_KBa2Sb
_chemical_formula_sum 'K1 Ba2 Sb1'
_symmetry_space_group_name_H-M 'P 4 m m'
_symmetry_Int_Tables_number 99
_cell_length_a 4.7249
_cell_length_b 4.7249
_cell_length_c 8.7567
_cell_angle_alpha 90.00
_cell_angle_beta 90.00
_cell_angle_gamma 90.00
loop_
_symmetry_equiv_pos_as_xyz
'x,y,z'
'-y,x,z'
'-x,-y,z'
'y,-x,z'
'-x,y,z'
'y,x,z'
'x,-y,z'
'-y,-x,z'
loop_
_atom_site_label
_atom_site_type_symbol
_atom_site_fract_x
_atom_site_fract_y
_atom_site_fract_z
_atom_site_occupancy
K1 K 0.0000 0.0000 0.0000 1
Ba1 Ba 0.0000 0.0000 0.3886 1
Ba2 Ba 0.5000 0.5000 0.6627 1
Sb1 Sb 0.5000 0.5000 0.2738 1